1.
VASP calculation (GGA-PBE) on a geometry-optimized SrTcCl2 structure.

Cell: 8.831 8.831 8.831 Å, 25.66 25.66 25.66°
Each line ends with the local moment (μB).
Fractional coordinates of all 4 atoms:
1 Sr 0.500 0.500 0.500  -0.04
2 Tc 0.000 0.000 0.000  2.95
3 Cl 0.904 0.904 0.904  0.01
4 Cl 0.096 0.096 0.096  0.01

Results
Crystal system = trigonal
V = 113.7 Å³ per cell
Space-group type = R-3m
Fermi-level density of states = 1.032 states/eV per atom

2.
VASP calculation (GGA-PBE) on a geometry-optimized SrTcCl2 structure.

Cell: 8.945 8.945 8.945 Å, 24.72 24.72 24.72°
Fractional coordinates of all 4 atoms:
1 Sr 0.499 0.499 0.499
2 Tc 0.731 0.731 0.731
3 Cl 0.036 0.036 0.036
4 Cl 0.234 0.234 0.234

Results
Crystal system = trigonal
V = 110.0 Å³ per cell
Space-group type = R3m
Fermi-level density of states = 0.117 states/eV per atom

Need the numbers? Relative energies in meV/atom: 1 161; 2 0.

1.
VASP calculation (GGA-PBE) on a geometry-optimized LiZr2Cl structure.

Cell: 10.028 10.028 10.028 Å, 17.89 17.89 17.89°
Each line ends with the local moment (μB).
Fractional coordinates of all 4 atoms:
1 Cl 0.750 0.750 0.750  0.00
2 Li 0.250 0.250 0.250  0.01
3 Zr 0.008 0.008 0.008  0.05
4 Zr 0.492 0.492 0.492  0.05

Results
Crystal system = trigonal
V = 83.1 Å³ per cell
Space-group type = R-3m
Fermi-level density of states = 1.428 states/eV per atom

2.
VASP calculation (GGA-PBE) on a geometry-optimized LiZr2Cl structure.

Cell: 9.003 9.003 3.294 Å, 79.51 79.51 20.44°
Fractional coordinates of all 4 atoms:
1 Cl 0.250 0.250 0.250
2 Li 0.750 0.750 0.750
3 Zr 0.942 0.942 0.058
4 Zr 0.558 0.558 0.442

Results
Crystal system = orthorhombic
V = 91.6 Å³ per cell
Space-group type = Immm
Fermi-level density of states = 0.543 states/eV per atom

Need the numbers? Relative energies in meV/atom: 1 228; 2 0.